A relaxed structure of BaSrNb2Sb, computed with PBE.

Computed properties:
* calculated volume: 159.0 Å³/f.u.
* raw formation energy: 1812 meV per atom
* SG: P4/mmm, No. 123
* DFT total energy: -3.76 eV/atom

```
5
Lattice="5.163 0.000 0.000 0.000 5.966 0.000 0.000 0.000 5.163" Properties=species:S:1:pos:R:3 pbc="T T T"
Nb 0.000 0.000 2.581
Nb 2.581 0.000 0.000
Sr 0.000 2.983 0.000
Ba 0.000 0.000 0.000
Sb 2.581 2.983 2.581
```